CaZrSc2: relaxed, PBE.

Cell and atoms, written as POSCAR:
```
CaZrSc2
1.0
-5.409 1.252 1.667
0.729 -5.738 0.377
1.035 0.335 3.106
Sc Ca Zr
2 1 1
direct
0.000 0.000 0.000 Sc
0.500 0.500 0.000 Sc
0.000 0.500 0.500 Ca
0.500 0.000 0.500 Zr
```

Calculated values
Polymorph energy (0 for the lowest one) (eV per atom): 0.131
D(E_F) (states/eV per atom): 1.58